VASP calculation (GGA-PBE) on an optimized crystal structure of AcDy5YHo2.

Computed properties:
Formation enthalpy at 0 K: 169 meV/atom

a = 5.624 Å, b = 10.190 Å, c = 11.082 Å
α = 90.00°, β = 90.00°, γ = 106.02°
Element x y z (fractional)
1 Ac 0.789 0.577 0.502
2 Ac 0.211 0.423 0.002
3 Dy 0.401 0.801 0.026
4 Dy 0.712 0.424 0.794
5 Dy 0.477 0.955 0.739
6 Dy 0.298 0.595 0.704
7 Dy 0.981 0.962 0.535
8 Dy 0.599 0.199 0.526
9 Dy 0.288 0.576 0.294
10 Dy 0.523 0.045 0.239
11 Dy 0.702 0.405 0.204
12 Dy 0.019 0.038 0.035
13 Y 0.584 0.168 0.961
14 Y 0.416 0.832 0.461
15 Ho 0.885 0.771 0.819
16 Ho 0.102 0.204 0.744
17 Ho 0.115 0.229 0.319
18 Ho 0.898 0.796 0.244